Record 1
This record from Alexandria describes ScPb after structural relaxation. The functional is PBE-GGA.

Cell lengths 3.4842, 3.4842, 4.8338 Å; angles 90.00, 90.00, 120.00 degrees
With the nearest neighbours (Å) after each atom.
Sites, in units of the cell vectors:
Sc  0.0000  0.0000  0.0000  6 Pb 3.14, 6 Sc 3.48
Pb  0.3333  0.6667  0.5000  6 Sc 3.14, 6 Pb 3.48

Summary:
* space-group type: P-6m2 (187)

***

Record 2
This record from Alexandria describes LiYMo2 after structural relaxation. The functional is PBE-GGA.

Cell lengths 2.7518, 2.7518, 9.5561 Å; angles 90.00, 90.00, 90.18 degrees
With the nearest neighbours (Å) after each atom.
Sites, in units of the cell vectors:
Li  0.0000  0.0000  0.0000  4 Li 2.75, 8 Mo 2.97
Y  0.0000  0.0000  0.5000  4 Y 2.75
Mo  0.5000  0.5000  0.2345  4 Mo 2.75, 4 Li 2.97
Mo  0.5000  0.5000  0.7655  4 Mo 2.75, 4 Li 2.97

Summary:
* space-group type: Cmmm (65)

***

Record 3
This record from Alexandria describes CsRb6Na4 after structural relaxation. The functional is PBE-GGA.

Cell lengths 8.4586, 8.4587, 12.9411 Å; angles 100.04, 100.07, 117.18 degrees
With the nearest neighbours (Å) after each atom.
Sites, in units of the cell vectors:
Cs  0.0000  0.0000  0.0000  6 Na 4.53-5.04, 3 Rb 4.64-4.78
Rb  0.1881  0.1889  0.3808  6 Na 4.19-4.66, 1 Cs 4.64, 4 Rb 4.65-4.69
Rb  0.2833  0.6363  0.9172  4 Na 4.28-4.47, 1 Rb 4.72, 1 Cs 4.78
Rb  0.5687  0.9899  0.5540  4 Na 4.22-4.65, 5 Rb 4.55-4.72
Rb  0.6284  0.6283  0.2593  4 Na 4.25-4.26, 4 Rb 4.65-4.71
Rb  0.6363  0.2833  0.9173  4 Na 4.28-4.47, 1 Rb 4.72, 1 Cs 4.78
Rb  0.9897  0.5691  0.5542  4 Na 4.22-4.66, 5 Rb 4.55-4.72
Na  0.1118  0.6125  0.2233  8 Rb 4.25-4.65, 2 Na 4.40-4.41
Na  0.1223  0.1225  0.6867  1 Na 3.92, 5 Rb 4.19-4.28
Na  0.5660  0.5662  0.6852  1 Na 3.92, 5 Rb 4.22-4.28
Na  0.6118  0.1114  0.2230  8 Rb 4.25-4.66, 2 Na 4.40-4.41

Summary:
* space-group type: P1 (1)

***

How do the records compare in raw total energy? In the order shown, they have -0.19458, -0.25384, -0.03863 Ha/atom.